Entry 1:
# La3Be SCAN single point on PBEsol structure
# Energy of formation from the pure elements   0.231 eV/atom
# Total magnetic moment   0.00 μB/cell
# E above lowest polymorph   0 meV/atom
data_La3Be
_chemical_formula_sum 'La3 Be1'
_space_group_name_H-M_alt 'P m -3 m'
_space_group_IT_number 221
_space_group_name_Hall '-P 4 2 3'
_cell_length_a 4.783
_cell_length_b 4.783
_cell_length_c 4.783
_cell_angle_alpha 90.00
_cell_angle_beta 90.00
_cell_angle_gamma 90.00
loop_
_atom_site_label
_atom_site_type_symbol
_atom_site_fract_x
_atom_site_fract_y
_atom_site_fract_z
La1 La 0.000 0.000 0.500
Be1 Be 0.500 0.500 0.500

***

Entry 2:
# La2Be SCAN single point on PBEsol structure
# Energy of formation from the pure elements   0.254 eV/atom
# Total magnetic moment   0.00 μB/cell
# E above lowest polymorph   74 meV/atom
data_La2Be
_chemical_formula_sum 'La8 Be4'
_space_group_name_H-M_alt 'F m -3 m'
_space_group_IT_number 225
_space_group_name_Hall '-F 4 2 3'
_cell_length_a 6.937
_cell_length_b 6.937
_cell_length_c 6.937
_cell_angle_alpha 90.00
_cell_angle_beta 90.00
_cell_angle_gamma 90.00
loop_
_atom_site_label
_atom_site_type_symbol
_atom_site_fract_x
_atom_site_fract_y
_atom_site_fract_z
La1 La 0.250 0.250 0.250
Be1 Be 0.000 0.000 0.000

***

Entry 3:
# La3Be SCAN single point on PBEsol structure
# Energy of formation from the pure elements   0.334 eV/atom
# Total magnetic moment   0.00 μB/cell
# E above lowest polymorph   103 meV/atom
data_La3Be
_chemical_formula_sum 'La9 Be3'
_space_group_name_H-M_alt 'R -3 m'
_space_group_IT_number 166
_space_group_name_Hall '-R 3 2"'
_cell_length_a 10.2087
_cell_length_b 10.2087
_cell_length_c 3.6601
_cell_angle_alpha 90.00
_cell_angle_beta 90.00
_cell_angle_gamma 120.00
loop_
_atom_site_label
_atom_site_type_symbol
_atom_site_fract_x
_atom_site_fract_y
_atom_site_fract_z
La1 La 0.0000 0.5000 0.0000
Be1 Be 0.0000 0.0000 0.0000